Ba5Sn2H2: optimized geometry, PBE-GGA.

Unit cell a=5.661 b=7.520 c=8.245 alpha=101.67 beta=90.00 gamma=112.11
Fractional coordinates of all 9 atoms:
1 Ba 0.326 0.652 0.136
2 Ba 0.674 0.348 0.864
3 Ba 0.144 0.287 0.533
4 Ba 0.856 0.713 0.467
5 Ba 0.000 0.000 0.000
6 Sn 0.393 0.787 0.730
7 Sn 0.607 0.213 0.270
8 H 0.162 0.323 0.875
9 H 0.838 0.677 0.125

Calculated values
Space-group type: C2/m
Total energy, eV per atom: -3.1846
Magnetic moment, Bohr magnetons per cell: 0.00
Crystal system: monoclinic

Si3SnPt: optimized geometry, PBE-GGA.

Unit cell a=4.764 b=4.764 c=4.764 alpha=90.00 beta=90.00 gamma=90.00
Fractional coordinates of all 5 atoms:
1 Si 0.000 0.500 0.000
2 Si 0.000 0.000 0.500
3 Si 0.500 0.000 0.000
4 Sn 0.500 0.500 0.500
5 Pt 0.000 0.000 0.000

Calculated values
Space-group type: Pm-3m
Total energy, eV per atom: -4.8206
Formation energy from raw total energies, meV per atom: 442
Magnetic moment, Bohr magnetons per cell: 0.00
Crystal system: cubic

TmTh2Tl3: optimized geometry, PBE-GGA.

Unit cell a=6.474 b=7.494 c=7.494 alpha=84.72 beta=90.00 gamma=90.00
Fractional coordinates of all 12 atoms:
1 Tm 0.750 0.834 0.834
2 Tm 0.250 0.166 0.166
3 Th 0.750 0.425 0.101
4 Th 0.250 0.575 0.899
5 Th 0.250 0.899 0.575
6 Th 0.750 0.101 0.425
7 Tl 0.250 0.448 0.448
8 Tl 0.750 0.552 0.552
9 Tl 0.500 0.196 0.804
10 Tl 0.000 0.196 0.804
11 Tl 0.500 0.804 0.196
12 Tl 0.000 0.804 0.196

Calculated values
Space-group type: Cmcm
Total energy, eV per atom: -4.4011
Magnetic moment, Bohr magnetons per cell: 0.00
Crystal system: orthorhombic
DFT formation energy, eV per atom: 0.0005

TiHPtS2: optimized geometry, PBE-GGA.

Unit cell a=4.638 b=4.937 c=4.638 alpha=90.00 beta=90.00 gamma=90.00
Fractional coordinates of all 5 atoms:
1 H 0.500 0.500 0.500
2 S 0.000 0.000 0.500
3 S 0.500 0.000 0.000
4 Pt 0.000 0.500 0.000
5 Ti 0.000 0.000 0.000

Calculated values
Space-group type: P4/mmm
Total energy, eV per atom: -4.5346
Magnetic moment, Bohr magnetons per cell: 0.31
Crystal system: tetragonal

LaNd2Bi3: optimized geometry, PBE-GGA.

Unit cell a=4.647 b=6.562 c=8.039 alpha=114.09 beta=106.80 gamma=90.00
Fractional coordinates of all 6 atoms:
1 La 0.000 0.500 0.000
2 Nd 0.666 0.166 0.332
3 Nd 0.334 0.834 0.668
4 Bi 0.331 0.331 0.662
5 Bi 0.000 0.000 0.000
6 Bi 0.669 0.669 0.338

Calculated values
Space-group type: Immm
Total energy, eV per atom: -5.3357
Magnetic moment, Bohr magnetons per cell: 0.00
Crystal system: orthorhombic
DFT formation energy, eV per atom: -0.9847

Y3Zr2PaN6: optimized geometry, PBE-GGA.

Unit cell a=5.894 b=5.894 c=5.914 alpha=99.50 beta=99.50 gamma=120.09
Fractional coordinates of all 12 atoms:
1 Y 0.169 0.831 0.500
2 Y 0.831 0.169 0.500
3 Y 0.500 0.500 0.500
4 Zr 0.333 0.667 0.000
5 Zr 0.667 0.333 0.000
6 Pa 0.000 0.000 0.000
7 N 0.922 0.589 0.765
8 N 0.745 0.745 0.231
9 N 0.078 0.411 0.235
10 N 0.589 0.922 0.765
11 N 0.255 0.255 0.769
12 N 0.411 0.078 0.235

Calculated values
Space-group type: C2/m
Total energy, eV per atom: -9.6975
Formation energy from raw total energies, meV per atom: -1703
Magnetic moment, Bohr magnetons per cell: 0.00
Crystal system: monoclinic

Tm2TaCl: optimized geometry, PBE-GGA.

Unit cell a=3.190 b=3.190 c=10.582 alpha=81.33 beta=81.33 gamma=60.00
Fractional coordinates of all 4 atoms:
1 Cl 0.500 0.500 0.500
2 Tm 0.095 0.095 0.716
3 Tm 0.905 0.905 0.284
4 Ta 0.000 0.000 0.000

Calculated values
Space-group type: R-3m
Total energy, eV per atom: -5.6701
Formation energy from raw total energies, meV per atom: -10
Magnetic moment, Bohr magnetons per cell: 0.90
Crystal system: trigonal

LiErTa2N4: optimized geometry, PBE-GGA.

Unit cell a=4.483 b=4.483 c=5.390 alpha=114.57 beta=114.57 gamma=90.00
Fractional coordinates of all 8 atoms:
1 Li 0.437 0.437 0.000
2 Er 0.937 0.937 0.000
3 Ta 0.187 0.687 0.500
4 Ta 0.687 0.187 0.500
5 N 0.937 0.437 0.000
6 N 0.437 0.937 0.000
7 N 0.197 0.197 0.520
8 N 0.677 0.677 0.480

Calculated values
Space-group type: I4/mmm
Total energy, eV per atom: -9.0689
Formation energy from raw total energies, meV per atom: -1134
Magnetic moment, Bohr magnetons per cell: 0.00
Crystal system: tetragonal

TaSb2AuI: optimized geometry, PBE-GGA.

Unit cell a=5.395 b=5.395 c=5.389 alpha=90.00 beta=90.00 gamma=90.00
Fractional coordinates of all 5 atoms:
1 I 0.000 0.000 0.500
2 Sb 0.000 0.500 0.000
3 Sb 0.500 0.000 0.000
4 Au 0.500 0.500 0.500
5 Ta 0.000 0.000 0.000

Calculated values
Space-group type: P4/mmm
Total energy, eV per atom: -4.3648
Formation energy from raw total energies, meV per atom: 620
Magnetic moment, Bohr magnetons per cell: 0.00
Crystal system: tetragonal

Tb5CeHo2: optimized geometry, PBE-GGA.

Unit cell a=5.012 b=7.098 c=14.199 alpha=90.00 beta=90.00 gamma=90.00
Fractional coordinates of all 16 atoms:
1 Tb 0.000 0.000 0.000
2 Tb 0.000 0.500 0.500
3 Tb 0.000 0.498 0.750
4 Tb 0.000 0.502 0.250
5 Tb 0.000 0.002 0.250
6 Tb 0.000 0.998 0.750
7 Tb 0.500 0.253 0.876
8 Tb 0.500 0.747 0.124
9 Tb 0.500 0.247 0.376
10 Tb 0.500 0.753 0.624
11 Ce 0.000 0.000 0.500
12 Ce 0.000 0.500 0.000
13 Ho 0.500 0.245 0.624
14 Ho 0.500 0.755 0.376
15 Ho 0.500 0.255 0.124
16 Ho 0.500 0.745 0.876

Calculated values
Space-group type: Pbam
Total energy, eV per atom: -4.7394
Magnetic moment, Bohr magnetons per cell: 1.90
Crystal system: orthorhombic
DFT formation energy, eV per atom: 0.0407

Y4CuTe8: optimized geometry, PBE-GGA.

Unit cell a=6.195 b=11.163 c=15.256 alpha=47.13 beta=90.00 gamma=90.00
Fractional coordinates of all 26 atoms:
1 Y 0.998 0.938 0.651
2 Y 0.002 0.938 0.151
3 Y 0.991 0.446 0.152
4 Y 0.009 0.446 0.652
5 Y 0.490 0.059 0.853
6 Y 0.508 0.563 0.338
7 Y 0.510 0.059 0.353
8 Y 0.492 0.563 0.838
9 Cu 0.326 0.196 0.604
10 Cu 0.674 0.196 0.104
11 Te 0.758 0.253 0.409
12 Te 0.744 0.253 0.908
13 Te 0.006 0.597 0.395
14 Te 0.994 0.597 0.895
15 Te 0.005 0.093 0.759
16 Te 0.995 0.093 0.259
17 Te 0.256 0.253 0.408
18 Te 0.252 0.748 0.089
19 Te 0.242 0.253 0.909
20 Te 0.249 0.754 0.586
21 Te 0.499 0.412 0.099
22 Te 0.513 0.906 0.745
23 Te 0.501 0.412 0.599
24 Te 0.487 0.906 0.245
25 Te 0.751 0.754 0.086
26 Te 0.748 0.748 0.589

Calculated values
Space-group type: Pc
Total energy, eV per atom: -5.3290
Formation energy from raw total energies, meV per atom: -1092
Magnetic moment, Bohr magnetons per cell: 0.00
Crystal system: monoclinic

Nd4Ti: optimized geometry, PBE-GGA.

Unit cell a=5.592 b=5.592 c=5.592 alpha=90.00 beta=90.00 gamma=90.00
Fractional coordinates of all 5 atoms:
1 Nd 0.000 0.000 0.000
2 Nd 0.500 0.000 0.500
3 Nd 0.000 0.500 0.500
4 Nd 0.500 0.500 0.000
5 Ti 0.500 0.500 0.500

Calculated values
Space-group type: Pm-3m
Total energy, eV per atom: -4.9360
Magnetic moment, Bohr magnetons per cell: 0.00
Crystal system: cubic
DFT formation energy, eV per atom: 0.4573

Tm4NiAg3: optimized geometry, PBE-GGA.

Unit cell a=3.505 b=3.505 c=14.257 alpha=90.00 beta=90.00 gamma=90.00
Fractional coordinates of all 8 atoms:
1 Ni 0.500 0.500 0.000
2 Tm 0.000 0.000 0.888
3 Tm 0.000 0.000 0.112
4 Tm 0.000 0.000 0.371
5 Tm 0.000 0.000 0.629
6 Ag 0.500 0.500 0.242
7 Ag 0.500 0.500 0.500
8 Ag 0.500 0.500 0.758

Calculated values
Space-group type: P4/mmm
Total energy, eV per atom: -4.3955
Magnetic moment, Bohr magnetons per cell: 0.00
Crystal system: tetragonal
DFT formation energy, eV per atom: -0.3679

YAl4Ag: optimized geometry, PBE-GGA.

Unit cell a=5.478 b=5.478 c=5.478 alpha=60.00 beta=60.00 gamma=60.00
Fractional coordinates of all 6 atoms:
1 Y 0.750 0.750 0.750
2 Al 0.873 0.376 0.376
3 Al 0.376 0.376 0.873
4 Al 0.376 0.873 0.376
5 Al 0.376 0.376 0.376
6 Ag 0.000 0.000 0.000

Calculated values
Space-group type: F-43m
Total energy, eV per atom: -4.1898
Magnetic moment, Bohr magnetons per cell: 0.00
Crystal system: cubic
DFT formation energy, eV per atom: -0.1423

Na3MgHg: optimized geometry, PBE-GGA.

Unit cell a=6.019 b=6.019 c=6.019 alpha=90.00 beta=90.00 gamma=90.00
Fractional coordinates of all 5 atoms:
1 Na 0.000 0.500 0.000
2 Na 0.000 0.000 0.500
3 Na 0.500 0.000 0.000
4 Mg 0.000 0.000 0.000
5 Hg 0.500 0.500 0.500

Calculated values
Space-group type: Pm-3m
Total energy, eV per atom: -0.8806
Magnetic moment, Bohr magnetons per cell: 0.00
Crystal system: cubic
DFT formation energy, eV per atom: 0.2902

CoSnSe2: optimized geometry, PBE-GGA.

Unit cell a=3.582 b=3.582 c=7.651 alpha=76.46 beta=76.46 gamma=60.00
Fractional coordinates of all 4 atoms:
1 Co 0.665 0.665 0.004
2 Sn 0.501 0.501 0.498
3 Se 0.056 0.056 0.833
4 Se 0.278 0.278 0.165

Calculated values
Space-group type: R3m
Total energy, eV per atom: -4.7141
Formation energy from raw total energies, meV per atom: -195
Magnetic moment, Bohr magnetons per cell: 0.00
Crystal system: trigonal

Sm6Dy2Y3Tm: optimized geometry, PBE-GGA.

Unit cell a=6.223 b=6.223 c=11.828 alpha=95.02 beta=95.02 gamma=119.98
Fractional coordinates of all 12 atoms:
1 Sm 0.917 0.584 0.752
2 Sm 0.750 0.750 0.249
3 Sm 0.083 0.416 0.248
4 Sm 0.584 0.917 0.752
5 Sm 0.250 0.250 0.751
6 Sm 0.416 0.083 0.248
7 Dy 0.333 0.667 0.000
8 Dy 0.667 0.333 0.000
9 Y 0.167 0.833 0.500
10 Y 0.833 0.167 0.500
11 Y 0.500 0.500 0.500
12 Tm 0.000 0.000 0.000

Calculated values
Space-group type: C2/m
Total energy, eV per atom: -5.1012
Magnetic moment, Bohr magnetons per cell: 0.00
Crystal system: monoclinic
DFT formation energy, eV per atom: 0.0140

RbYIr3: optimized geometry, PBE-GGA.

Unit cell a=5.209 b=5.209 c=5.209 alpha=90.00 beta=90.00 gamma=90.00
Fractional coordinates of all 5 atoms:
1 Y 0.000 0.000 0.000
2 Ir 0.000 0.500 0.000
3 Ir 0.000 0.000 0.500
4 Ir 0.500 0.000 0.000
5 Rb 0.500 0.500 0.500

Calculated values
Space-group type: Pm-3m
Total energy, eV per atom: -5.1806
Magnetic moment, Bohr magnetons per cell: 1.81
Crystal system: cubic
DFT formation energy, eV per atom: 1.6224

Pm2Zr2O7: optimized geometry, PBE-GGA.

Unit cell a=7.601 b=7.601 c=7.601 alpha=60.00 beta=60.00 gamma=60.00
Fractional coordinates of all 22 atoms:
1 Pm 0.625 0.625 0.625
2 Pm 0.625 0.625 0.125
3 Pm 0.625 0.125 0.625
4 Pm 0.125 0.625 0.625
5 Zr 0.625 0.125 0.125
6 Zr 0.125 0.625 0.125
7 Zr 0.125 0.125 0.625
8 Zr 0.125 0.125 0.125
9 O 0.212 0.212 0.788
10 O 0.212 0.788 0.212
11 O 0.462 0.038 0.462
12 O 0.462 0.462 0.038
13 O 0.750 0.750 0.750
14 O 0.788 0.212 0.212
15 O 0.462 0.038 0.038
16 O 0.038 0.462 0.462
17 O 0.038 0.038 0.462
18 O 0.038 0.462 0.038
19 O 0.212 0.788 0.788
20 O 0.500 0.500 0.500
21 O 0.788 0.212 0.788
22 O 0.788 0.788 0.212

Calculated values
Space-group type: Fd-3m
Total energy, eV per atom: -8.9832
Formation energy from raw total energies, meV per atom: -3410
Magnetic moment, Bohr magnetons per cell: 0.00
Crystal system: cubic

SmYBe: optimized geometry, PBE-GGA.

Unit cell a=4.849 b=6.851 c=9.628 alpha=90.00 beta=90.00 gamma=90.00
Fractional coordinates of all 12 atoms:
1 Sm 0.750 0.032 0.114
2 Sm 0.250 0.532 0.386
3 Sm 0.250 0.968 0.886
4 Sm 0.750 0.468 0.614
5 Be 0.750 0.766 0.374
6 Be 0.250 0.266 0.126
7 Be 0.250 0.234 0.626
8 Be 0.750 0.734 0.874
9 Y 0.750 0.526 0.130
10 Y 0.250 0.026 0.370
11 Y 0.250 0.474 0.870
12 Y 0.750 0.974 0.630

Calculated values
Space-group type: Pnma
Total energy, eV per atom: -4.6721
Magnetic moment, Bohr magnetons per cell: 0.00
Crystal system: orthorhombic
DFT formation energy, eV per atom: 0.2977

BaCdPb2: optimized geometry, PBE-GGA.

Unit cell a=5.604 b=3.882 c=6.358 alpha=85.88 beta=90.00 gamma=90.00
Fractional coordinates of all 4 atoms:
1 Pb 0.000 0.910 0.013
2 Pb 0.500 0.169 0.221
3 Ba 0.000 0.476 0.522
4 Cd 0.500 0.944 0.744

Calculated values
Space-group type: Pm
Total energy, eV per atom: -2.7859
Magnetic moment, Bohr magnetons per cell: 0.00
Crystal system: monoclinic
DFT formation energy, eV per atom: -0.2223

NiHg2Br: optimized geometry, PBE-GGA.

Unit cell a=4.109 b=5.968 c=5.974 alpha=46.53 beta=90.00 gamma=90.00
Fractional coordinates of all 4 atoms:
1 Br 0.500 0.750 0.750
2 Hg 0.000 0.091 0.090
3 Hg 0.000 0.409 0.410
4 Ni 0.500 0.250 0.250

Calculated values
Space-group type: P2/m
Total energy, eV per atom: -1.9604
Formation energy from raw total energies, meV per atom: 54
Magnetic moment, Bohr magnetons per cell: 0.35
Crystal system: monoclinic

RbHoPbF6: optimized geometry, PBE-GGA.

Unit cell a=8.019 b=8.156 c=8.058 alpha=120.40 beta=119.84 gamma=90.00
Fractional coordinates of all 18 atoms:
1 Rb 0.855 0.605 0.710
2 Rb 0.145 0.395 0.290
3 Ho 0.500 0.500 0.000
4 Ho 0.500 0.000 0.000
5 Pb 0.500 0.000 0.500
6 Pb 0.000 0.000 0.500
7 F 0.567 0.817 0.135
8 F 0.868 0.118 0.736
9 F 0.823 0.160 0.266
10 F 0.443 0.606 0.266
11 F 0.443 0.160 0.266
12 F 0.823 0.606 0.266
13 F 0.433 0.183 0.865
14 F 0.132 0.882 0.264
15 F 0.177 0.840 0.734
16 F 0.557 0.394 0.734
17 F 0.557 0.840 0.734
18 F 0.177 0.394 0.734

Calculated values
Space-group type: Imma
Total energy, eV per atom: -5.4788
Formation energy from raw total energies, meV per atom: -3203
Magnetic moment, Bohr magnetons per cell: 0.00
Crystal system: orthorhombic